A plane-wave DFT calculation with PBE was carried out for an optimized crystal structure of Y4ZrSc.

Cell lengths 9.0049, 9.0049, 9.0049 Å; angles 90.00, 90.00, 90.00 degrees
With the nearest neighbours (Å) after each atom.
Space group F-43m (No. 216)
Inequivalent atoms, fractional coordinates:
Y 0.1248 0.1248 0.1248  6 Y 3.18-3.19
Zr 0.2500 0.2500 0.7500  12 Y 3.73, 4 Sc 3.90
Sc 0.0000 0.0000 0.5000  12 Y 3.73, 4 Zr 3.90

Summary:
energy: -151.76 eV for the cell shown
DOS at the Fermi energy: 35.3 states/eV per cell
DFT formation energy: 466 meV/atom